(1)
MgTaMo2: optimized geometry, PBE.

Cell: 5.364 5.364 5.364 Å, 144.43 129.38 63.39°
Fractional coordinates of all 4 atoms:
Mg: 0.758 0.258 0.500
Ta: 0.485 0.485 0.000
Mo: 0.238 0.738 0.500
Mo: 0.019 0.019 0.000

Results
Electronic total energy = -0.630 Ry/atom
Mass density = 9.61 g cm⁻³
ΔE_f = 0.203 eV per atom

=====

(2)
MgTaMo2: optimized geometry, PBE.

Cell: 3.462 4.440 4.384 Å, 90.00 90.00 90.00°
Fractional coordinates of all 4 atoms:
Mo: 0.000 0.000 0.000
Mo: 0.500 0.500 0.000
Mg: 0.000 0.500 0.500
Ta: 0.500 0.000 0.500

Results
Electronic total energy = -0.623 Ry/atom
Mass density = 9.79 g cm⁻³
ΔE_f = 0.307 eV per atom

=====

(3)
MgTaMo2: optimized geometry, PBE.

Cell: 4.610 2.743 5.456 Å, 80.25 90.00 90.00°
Fractional coordinates of all 4 atoms:
Ta: 0.000 0.492 0.491
Mo: 0.000 0.013 0.012
Mo: 0.500 0.223 0.243
Mg: 0.500 0.772 0.754

Results
Electronic total energy = -0.632 Ry/atom
Mass density = 9.70 g cm⁻³
ΔE_f = 0.178 eV per atom

=====

(4)
MgTa3Mo: optimized geometry, PBE.

Cell: 4.660 4.660 4.660 Å, 90.00 90.00 90.00°
Fractional coordinates of all 5 atoms:
Ta: 0.000 0.500 0.000
Ta: 0.500 0.000 0.000
Ta: 0.000 0.000 0.500
Mg: 0.000 0.000 0.000
Mo: 0.500 0.500 0.500

Results
Electronic total energy = -0.551 Ry/atom
Mass density = 10.88 g cm⁻³
ΔE_f = 2.095 eV per atom

=====

(5)
MgTaMo2: optimized geometry, PBE.

Cell: 2.706 2.706 9.498 Å, 90.00 90.00 90.00°
Fractional coordinates of all 4 atoms:
Mo: 0.500 0.500 0.246
Mo: 0.000 0.000 0.003
Mg: 0.500 0.500 0.758
Ta: 0.000 0.000 0.493

Results
Electronic total energy = -0.620 Ry/atom
Mass density = 9.48 g cm⁻³
ΔE_f = 0.342 eV per atom

=====

(6)
MgTa2Mo: optimized geometry, PBE.

Cell: 5.036 5.036 5.448 Å, 85.87 85.87 31.29°
Fractional coordinates of all 4 atoms:
Ta: 0.751 0.751 0.749
Ta: 0.000 0.000 0.005
Mo: 0.248 0.248 0.248
Mg: 0.501 0.501 0.498

Results
Electronic total energy = -0.641 Ry/atom
Mass density = 11.19 g cm⁻³
ΔE_f = 0.310 eV per atom